1.
Pr6Sn3Ge | PBE | optimized geometry

Cell and atoms, written as POSCAR:
```
Pr6Sn3Ge
1.0
6.3246 0.0000 0.0000
0.0000 8.8892 0.0000
-6.3174 0.0000 11.6192
Pr Sn Ge
12 6 2
Direct
0.0309 0.1822 0.4302 Pr
0.0309 0.3178 0.9302 Pr
0.3123 0.6639 0.4276 Pr
0.3123 0.8361 0.9276 Pr
0.3706 0.0382 0.2426 Pr
0.3706 0.4618 0.7426 Pr
0.6294 0.5382 0.2574 Pr
0.6294 0.9618 0.7574 Pr
0.6877 0.1639 0.0724 Pr
0.6877 0.3361 0.5724 Pr
0.9691 0.6822 0.0698 Pr
0.9691 0.8178 0.5698 Pr
0.1492 0.1219 0.7452 Sn
0.1492 0.3781 0.2452 Sn
0.5000 0.0000 0.5000 Sn
0.5000 0.5000 0.0000 Sn
0.8508 0.6219 0.7548 Sn
0.8508 0.8781 0.2548 Sn
0.0000 0.0000 0.0000 Ge
0.0000 0.5000 0.5000 Ge
```

Space-group type ... P2_1/c (14)
Mass density ... 6.5 Mg/m³
Magnetic moment ... 0.09 μB/atom
Energy ... -51.3 eV per formula unit
Energy of formation from the pure elements ... -0.5973 eV per atom



2.
TlFeS2 | PBE | optimized geometry

Cell and atoms, written as POSCAR:
```
TlFeS2
1.0
0.0000 3.2544 3.2544
3.2544 0.0000 3.2544
3.2544 3.2544 0.0000
Tl Fe S
1 1 2
Direct
0.0000 0.0000 0.0000 Tl
0.5000 0.5000 0.5000 Fe
0.2500 0.2500 0.2500 S
0.7500 0.7500 0.7500 S
```

Space-group type ... Fm-3m (225)
Mass density ... 7.8 Mg/m³
Magnetic moment ... 0.00 μB/atom
Energy ... -16.2 eV per formula unit



3.
LiPa2SiO8 | PBE | optimized geometry

Cell and atoms, written as POSCAR:
```
LiPa2SiO8
1.0
4.9900 0.0000 0.0000
-2.4950 4.3214 0.0000
0.0000 0.0000 7.2304
Li Pa Si O
1 2 1 8
Direct
0.0000 0.0000 0.0000 Li
0.3333 0.6667 0.3373 Pa
0.6667 0.3333 0.6627 Pa
0.0000 0.0000 0.5000 Si
0.1655 0.3310 0.6420 O
0.1655 0.8345 0.6420 O
0.3310 0.1655 0.3580 O
0.3333 0.6667 0.0785 O
0.6667 0.3333 0.9215 O
0.6690 0.8345 0.6420 O
0.8345 0.1655 0.3580 O
0.8345 0.6690 0.3580 O
```

Space-group type ... P-3m1 (164)
Mass density ... 6.7 Mg/m³
Magnetic moment ... 0.00 μB/atom
Energy ... -97.2 eV per formula unit



4.
Al2NiSe | PBE | optimized geometry

Cell and atoms, written as POSCAR:
```
Al2NiSe
1.0
-1.9608 1.9608 4.0847
1.9608 -1.9608 4.0847
1.9608 1.9608 -4.0847
Al Ni Se
2 1 1
Direct
0.0000 0.0000 0.0000 Al
0.7500 0.2500 0.5000 Al
0.2500 0.7500 0.5000 Ni
0.5000 0.5000 0.0000 Se
```

Space-group type ... I-4m2 (119)
Mass density ... 5.1 Mg/m³
Magnetic moment ... 0.00 μB/atom
Energy ... -16.4 eV per formula unit



What did the first record say?
Pr6Sn3Ge | PBE | optimized geometry

Cell and atoms, written as POSCAR:
```
Pr6Sn3Ge
1.0
6.3246 0.0000 0.0000
0.0000 8.8892 0.0000
-6.3174 0.0000 11.6192
Pr Sn Ge
12 6 2
Direct
0.0309 0.1822 0.4302 Pr
0.0309 0.3178 0.9302 Pr
0.3123 0.6639 0.4276 Pr
0.3123 0.8361 0.9276 Pr
0.3706 0.0382 0.2426 Pr
0.3706 0.4618 0.7426 Pr
0.6294 0.5382 0.2574 Pr
0.6294 0.9618 0.7574 Pr
0.6877 0.1639 0.0724 Pr
0.6877 0.3361 0.5724 Pr
0.9691 0.6822 0.0698 Pr
0.9691 0.8178 0.5698 Pr
0.1492 0.1219 0.7452 Sn
0.1492 0.3781 0.2452 Sn
0.5000 0.0000 0.5000 Sn
0.5000 0.5000 0.0000 Sn
0.8508 0.6219 0.7548 Sn
0.8508 0.8781 0.2548 Sn
0.0000 0.0000 0.0000 Ge
0.0000 0.5000 0.5000 Ge
```

Space-group type ... P2_1/c (14)
Mass density ... 6.5 Mg/m³
Magnetic moment ... 0.09 μB/atom
Energy ... -51.3 eV per formula unit
Energy of formation from the pure elements ... -0.5973 eV per atom